VASP calculation (PBE) on crystalline Mg2CdInAu4 at its relaxed geometry.

## Properties
Space-group type = No. 166
ΔE_f = -0.39 eV per atom
Total magnetic moment = 0.0 Bohr magnetons per cell

a b c (Å): 8.2765 8.2765 8.2765
angles (deg): 33.30 33.30 33.30
Atoms (fractional coordinates):
Mg: 0.2484 0.2484 0.2484
Mg: 0.7516 0.7516 0.7516
Cd: 0.5000 0.5000 0.5000
In: 0.0000 0.0000 0.0000
Au: 0.1251 0.1251 0.1251
Au: 0.3747 0.3747 0.3747
Au: 0.6253 0.6253 0.6253
Au: 0.8749 0.8749 0.8749

=====

VASP calculation (PBE) on crystalline MgCdInAu at its relaxed geometry.

## Properties
Space-group type = No. 216
ΔE_f = -0.15 eV per atom
Total magnetic moment = 0.0 Bohr magnetons per cell

a b c (Å): 4.9068 4.9068 4.9068
angles (deg): 60.00 60.00 60.00
Atoms (fractional coordinates):
Mg: 0.0000 0.0000 0.0000
Cd: 0.2500 0.2500 0.2500
In: 0.5000 0.5000 0.5000
Au: 0.7500 0.7500 0.7500

=====

VASP calculation (PBE) on crystalline NaCd2In2Au2 at its relaxed geometry.

## Properties
Space-group type = No. 166
ΔE_f = -0.22 eV per atom
Total magnetic moment = 0.0 Bohr magnetons per cell

a b c (Å): 8.3138 8.3138 8.3138
angles (deg): 33.59 33.59 33.59
Atoms (fractional coordinates):
Na: 0.0000 0.0000 0.0000
Cd: 0.1339 0.1339 0.1339
Cd: 0.8661 0.8661 0.8661
In: 0.3918 0.3918 0.3918
In: 0.6082 0.6082 0.6082
Au: 0.2564 0.2564 0.2564
Au: 0.7436 0.7436 0.7436

=====

VASP calculation (PBE) on crystalline Na2CdInAu6 at its relaxed geometry.

## Properties
Space-group type = No. 225
ΔE_f = 0.13 eV per atom
Total magnetic moment = 0.0 Bohr magnetons per cell

a b c (Å): 7.4610 7.4610 7.4610
angles (deg): 60.00 60.00 60.00
Atoms (fractional coordinates):
Na: 0.2500 0.2500 0.2500
Na: 0.7500 0.7500 0.7500
Cd: 0.0000 0.0000 0.0000
In: 0.5000 0.5000 0.5000
Au: 0.2503 0.2503 0.7497
Au: 0.2503 0.7497 0.2503
Au: 0.2503 0.7497 0.7497
Au: 0.7497 0.2503 0.2503
Au: 0.7497 0.2503 0.7497
Au: 0.7497 0.7497 0.2503

=====

VASP calculation (PBE) on crystalline Na2Cd2InAu5 at its relaxed geometry.

## Properties
Space-group type = No. 127
ΔE_f = -0.21 eV per atom
Total magnetic moment = 0.0 Bohr magnetons per cell

a b c (Å): 10.4949 10.4949 3.9815
angles (deg): 90.00 90.00 90.00
Atoms (fractional coordinates):
Na: 0.1704 0.3296 0.0000
Na: 0.3296 0.8296 0.0000
Na: 0.6704 0.1704 0.0000
Na: 0.8296 0.6704 0.0000
Cd: 0.1306 0.6306 0.0000
Cd: 0.3694 0.1306 0.0000
Cd: 0.6306 0.8694 0.0000
Cd: 0.8694 0.3694 0.0000
In: 0.0000 0.0000 0.0000
In: 0.5000 0.5000 0.0000
Au: 0.0000 0.5000 0.5000
Au: 0.0480 0.8032 0.5000
Au: 0.1968 0.0480 0.5000
Au: 0.3032 0.5480 0.5000
Au: 0.4520 0.3032 0.5000
Au: 0.5000 0.0000 0.5000
Au: 0.5480 0.6968 0.5000
Au: 0.6968 0.4520 0.5000
Au: 0.8032 0.9520 0.5000
Au: 0.9520 0.1968 0.5000

=====

VASP calculation (PBE) on crystalline Na2CdInAu at its relaxed geometry.

## Properties
Space-group type = No. 123
ΔE_f = -0.02 eV per atom
Total magnetic moment = 0.0 Bohr magnetons per cell

a b c (Å): 5.5307 5.5307 5.2419
angles (deg): 90.00 90.00 90.00
Atoms (fractional coordinates):
Na: 0.0000 0.5000 0.0000
Na: 0.5000 0.0000 0.0000
Cd: 0.0000 0.0000 0.5000
In: 0.5000 0.5000 0.5000
Au: 0.5000 0.5000 0.0000